Here is a relaxed structure of ThMnH3 from Alexandria via LeMat-Bulk. Energies are from GGA-PBE.

Computed properties:
SG ... Pm-3m (221)
V ... 49.6 Å³ per cell

a b c (Å): 3.674 3.674 3.674
angles (deg): 90.00 90.00 90.00
Each line ends with the local moment (μB).
Sites, in units of the cell vectors:
H: 0.000 0.500 0.000  -0.01
H: 0.000 0.000 0.500  -0.01
H: 0.500 0.000 0.000  -0.01
Mn: 0.000 0.000 0.000  1.59
Th: 0.500 0.500 0.500  -0.10

=====

Here is a relaxed structure of ThMn2H8 from Alexandria via LeMat-Bulk. Energies are from GGA-PBE.

Computed properties:
SG ... I4/mmm (139)
V ... 84.1 Å³ per cell
Distance to the lowest polymorph of the same formula ... 74 meV/atom

a b c (Å): 4.089 4.089 5.800
angles (deg): 110.64 110.64 90.00
Each line ends with the local moment (μB).
Sites, in units of the cell vectors:
Th: 0.500 0.500 0.000  -0.04
Mn: 0.250 0.750 0.500  0.27
Mn: 0.750 0.250 0.500  0.27
H: 0.943 0.943 0.320  0.00
H: 0.057 0.057 0.680  0.00
H: 0.623 0.623 0.680  0.00
H: 0.623 0.057 0.680  0.00
H: 0.377 0.377 0.320  0.00
H: 0.377 0.943 0.320  0.00
H: 0.943 0.377 0.320  0.00
H: 0.057 0.623 0.680  0.00

=====

Here is a relaxed structure of Th2MnH from Alexandria via LeMat-Bulk. Energies are from GGA-PBE.

Computed properties:
SG ... R-3m (166)
V ... 84.7 Å³ per cell

a b c (Å): 3.339 3.339 8.976
angles (deg): 79.28 79.28 60.00
Each line ends with the local moment (μB).
Sites, in units of the cell vectors:
H: 0.500 0.500 0.500  0.00
Mn: 0.000 0.000 0.000  3.23
Th: 0.104 0.104 0.687  -0.20
Th: 0.896 0.896 0.313  -0.20

=====

Here is a relaxed structure of ThMn2H8 from Alexandria via LeMat-Bulk. Energies are from GGA-PBE.

Computed properties:
SG ... C2/m (12)
V ... 76.9 Å³ per cell
Distance to the lowest polymorph of the same formula ... 0 meV/atom

a b c (Å): 3.750 4.789 4.789
angles (deg): 116.63 90.75 90.75
Each line ends with the local moment (μB).
Sites, in units of the cell vectors:
Th: 0.500 0.000 0.000  -0.04
Mn: 0.000 0.325 0.675  1.51
Mn: 0.000 0.675 0.325  1.51
H: 0.990 0.971 0.684  -0.01
H: 0.990 0.684 0.971  -0.01
H: 0.243 0.532 0.532  -0.02
H: 0.500 0.703 0.297  -0.01
H: 0.500 0.297 0.703  -0.01
H: 0.757 0.468 0.468  -0.02
H: 0.010 0.316 0.029  -0.01
H: 0.010 0.029 0.316  -0.01

=====

Energy / eV per cell: -27.7 -53.3 -25.7 -54.2
Total moment / Bohr magnetons per cell: 1.497 0.448 2.655 2.888